(1)
Nd2Sc3Ge4, relaxed, DFT PBE; mass density = 5744 kg/m3; calculated volume = 22.9 Å³/atom; N(E_F) = 8.0 states/eV per cell; E above lowest polymorph = 11.8 kJ per mole of atoms; total DFT energy (no corrections) = -5.996 eV per atom
1.0
3.2392 -7.9099 0.0000
3.2392 7.9099 0.0000
0.0000 0.0000 8.0549
Nd Sc Ge
4 6 8
direct
0.1101 0.8899 0.9093
0.3899 0.6101 0.4093
0.6101 0.3899 0.5907
0.8899 0.1101 0.0907
0.0000 0.0000 0.5000
0.0431 0.4569 0.7500
0.4569 0.0431 0.2500
0.5000 0.5000 0.0000
0.5431 0.9569 0.7500
0.9569 0.5431 0.2500
0.1901 0.8099 0.5538
0.2141 0.2859 0.7500
0.2859 0.2141 0.2500
0.3099 0.6901 0.0538
0.6901 0.3099 0.9462
0.7141 0.7859 0.7500
0.7859 0.7141 0.2500
0.8099 0.1901 0.4462

---

(2)
Nd3Sc2Ge4, relaxed, DFT PBE; mass density = 6139 kg/m3; calculated volume = 24.4 Å³/atom; N(E_F) = 5.5 states/eV per cell; total DFT energy (no corrections) = -5.808 eV per atom
1.0
6.2127 -2.0994 0.0000
6.2127 2.0994 0.0000
-3.4411 0.0000 8.4322
Nd Sc Ge
3 2 4
direct
0.0000 0.0000 0.0000
0.3855 0.3855 0.2978
0.6145 0.6145 0.7022
0.3152 0.3152 0.6479
0.6848 0.6848 0.3521
0.0798 0.0798 0.4246
0.2849 0.2849 0.9334
0.7151 0.7151 0.0666
0.9202 0.9202 0.5754

---

(3)
NdScGe2, relaxed, DFT PBE; mass density = 6227 kg/m3; calculated volume = 22.3 Å³/atom; N(E_F) = 4.8 states/eV per cell; total DFT energy (no corrections) = -5.870 eV per atom
1.0
2.1713 -6.2552 0.0000
2.1713 6.2552 0.0000
0.0000 0.0000 6.5672
Nd Sc Ge
2 2 4
direct
0.0529 0.9471 0.7500
0.9471 0.0529 0.2500
0.2211 0.7789 0.2500
0.7789 0.2211 0.7500
0.3850 0.6150 0.5524
0.3850 0.6150 0.9476
0.6150 0.3850 0.0524
0.6150 0.3850 0.4476

---

(4)
NdScTcGe2, relaxed, DFT PBE; mass density = 7165 kg/m3; calculated volume = 20.0 Å³/atom; N(E_F) = 3.0 states/eV per cell; total DFT energy (no corrections) = -6.788 eV per atom
1.0
-2.0474 2.0474 5.9781
2.0474 -2.0474 5.9781
2.0474 2.0474 -5.9781
Nd Sc Tc Ge
1 1 1 2
direct
0.0000 0.0000 0.0000
0.2500 0.7500 0.5000
0.7500 0.2500 0.5000
0.3938 0.3938 0.0000
0.6062 0.6062 0.0000

---

(5)
Nd3Sc3Tl2Ge, relaxed, DFT PBE; mass density = 7156 kg/m3; calculated volume = 27.0 Å³/atom; N(E_F) = 11.8 states/eV per cell; total DFT energy (no corrections) = -5.145 eV per atom
1.0
8.3905 0.0000 0.0000
-4.1953 7.2664 0.0000
0.0000 0.0000 3.9928
Nd Sc Tl Ge
3 3 2 1
direct
0.0000 0.6117 0.0000
0.3883 0.3883 0.0000
0.6117 0.0000 0.0000
0.0000 0.2421 0.5000
0.2421 0.0000 0.5000
0.7579 0.7579 0.5000
0.3333 0.6667 0.5000
0.6667 0.3333 0.5000
0.0000 0.0000 0.0000

---

(6)
NdScZnGe, relaxed, DFT PBE; mass density = 6257 kg/m3; calculated volume = 21.7 Å³/atom; N(E_F) = 1.8 states/eV per cell; total DFT energy (no corrections) = -4.742 eV per atom
1.0
0.0000 3.5149 3.5149
3.5149 0.0000 3.5149
3.5149 3.5149 0.0000
Nd Sc Zn Ge
1 1 1 1
direct
0.0000 0.0000 0.0000
0.5000 0.5000 0.5000
0.7500 0.7500 0.7500
0.2500 0.2500 0.2500

---

(7)
Nd3Ge2Se, relaxed, DFT PBE; mass density = 6569 kg/m3; raw formation energy = -1.1775 eV per atom; calculated volume = 27.7 Å³/atom; N(E_F) = 2.7 states/eV per cell; total DFT energy (no corrections) = -5.681 eV per atom
1.0
-2.1189 3.0250 6.4774
2.1189 -3.0250 6.4774
2.1189 3.0250 -6.4774
Nd Ge Se
3 2 1
direct
0.0000 0.0000 0.0000
0.3338 0.3338 0.0000
0.6662 0.6662 0.0000
0.1637 0.6637 0.5000
0.8363 0.3363 0.5000
0.5000 0.0000 0.5000

---

(8)
NdGeSe2, relaxed, DFT PBE; mass density = 4697 kg/m3; raw formation energy = -0.8269 eV per atom; calculated volume = 33.1 Å³/atom; N(E_F) = 2.0 states/eV per cell; total DFT energy (no corrections) = -4.915 eV per atom
1.0
2.0969 1.2107 8.6990
-2.0969 1.2107 8.6990
0.0000 -2.4213 8.6990
Nd Ge Se
1 1 2
direct
0.0000 0.0000 0.0000
0.5000 0.5000 0.5000
0.3975 0.3975 0.3975
0.6025 0.6025 0.6025

---

(9)
Nd4Ge2Se, relaxed, DFT PBE; mass density = 7050 kg/m3; raw formation energy = -1.0534 eV per atom; calculated volume = 27.0 Å³/atom; N(E_F) = 14.1 states/eV per cell; total DFT energy (no corrections) = -5.595 eV per atom
1.0
-4.5519 4.5519 4.5543
4.5519 -4.5519 4.5543
4.5519 4.5519 -4.5543
Nd Ge Se
8 4 2
direct
0.1258 0.2410 0.7458
0.1301 0.7452 0.7542
0.2548 0.0090 0.3848
0.4952 0.3801 0.2542
0.6199 0.8742 0.1152
0.6242 0.8699 0.6152
0.7590 0.5048 0.8848
0.9910 0.3758 0.2458
0.2492 0.6250 0.1242
0.3750 0.4992 0.6242
0.5008 0.1250 0.8758
0.8750 0.7508 0.3758
0.0000 0.0000 0.0000
0.7500 0.2500 0.5000

---

(10)
Nd5Ge2Se2, relaxed, DFT PBE; mass density = 7127 kg/m3; raw formation energy = -1.2112 eV per atom; calculated volume = 26.5 Å³/atom; N(E_F) = 12.5 states/eV per cell; total DFT energy (no corrections) = -5.660 eV per atom
1.0
7.5548 -3.9533 0.0000
7.5548 3.9533 0.0000
0.0000 0.0000 7.9912
Nd Ge Se
10 4 4
direct
0.0000 0.0000 0.0000
0.0337 0.6951 0.6648
0.1951 0.5337 0.1648
0.3049 0.9663 0.6648
0.4663 0.8049 0.1648
0.5000 0.5000 0.5000
0.5337 0.1951 0.8352
0.6951 0.0337 0.3352
0.8049 0.4663 0.8352
0.9663 0.3049 0.3352
0.1289 0.8711 0.3714
0.3711 0.6289 0.8714
0.6289 0.3711 0.1286
0.8711 0.1289 0.6286
0.1996 0.1996 0.0000
0.3004 0.3004 0.5000
0.6996 0.6996 0.5000
0.8004 0.8004 0.0000

---

(11)
Nd8Ge5Se, relaxed, DFT PBE; mass density = 6939 kg/m3; raw formation energy = -0.9345 eV per atom; calculated volume = 27.3 Å³/atom; N(E_F) = 10.9 states/eV per cell; total DFT energy (no corrections) = -5.557 eV per atom
1.0
-4.5714 4.5714 4.5696
4.5714 -4.5714 4.5696
4.5714 4.5714 -4.5696
Nd Ge Se
8 5 1
direct
0.0054 0.6234 0.7523
0.2399 0.4911 0.1141
0.3770 0.1258 0.8859
0.3766 0.1289 0.3820
0.5089 0.6230 0.7488
0.7470 0.9946 0.6180
0.8711 0.2530 0.2477
0.8742 0.7601 0.2512
0.0000 0.0000 0.0000
0.1272 0.2504 0.6257
0.4985 0.8728 0.1232
0.6247 0.5015 0.3743
0.7496 0.3753 0.8768
0.2500 0.7500 0.5000

---

(12)
Nd2GeSe5, relaxed, DFT PBE; mass density = 4491 kg/m3; raw formation energy = -1.1115 eV per atom; calculated volume = 34.9 Å³/atom; total DFT energy (no corrections) = -5.058 eV per atom
1.0
2.9275 -7.3402 0.0000
2.9275 7.3402 0.0000
0.0000 0.0000 13.0083
Nd Ge Se
4 2 10
direct
0.1696 0.8304 0.5750
0.1696 0.8304 0.9250
0.8304 0.1696 0.0750
0.8304 0.1696 0.4250
0.1908 0.8092 0.2500
0.8092 0.1908 0.7500
0.0280 0.9720 0.0899
0.0280 0.9720 0.4101
0.2901 0.7099 0.7500
0.3019 0.6981 0.0957
0.3019 0.6981 0.4043
0.6981 0.3019 0.5957
0.6981 0.3019 0.9043
0.7099 0.2901 0.2500
0.9720 0.0280 0.5899
0.9720 0.0280 0.9101

---

(13)
NdGe2Se6, relaxed, DFT PBE; mass density = 5209 kg/m3; raw formation energy = -0.5568 eV per atom; calculated volume = 27.0 Å³/atom; N(E_F) = 8.3 states/eV per cell; total DFT energy (no corrections) = -4.436 eV per atom
1.0
6.5831 -5.7284 0.0000
6.5831 5.7284 0.0000
-2.2089 0.0000 6.4526
Nd Ge Se
2 4 12
direct
0.1670 0.8330 0.7500
0.8330 0.1670 0.2500
0.2270 0.3713 0.7805
0.3713 0.2270 0.2805
0.6287 0.7730 0.7195
0.7730 0.6287 0.2195
0.0448 0.1681 0.6742
0.1431 0.6032 0.0043
0.1681 0.0448 0.1742
0.2535 0.4676 0.4893
0.3968 0.8569 0.4957
0.4676 0.2535 0.9893
0.5324 0.7465 0.0107
0.6032 0.1431 0.5043
0.7465 0.5324 0.5107
0.8319 0.9552 0.8258
0.8569 0.3968 0.9957
0.9552 0.8319 0.3258

---

(14)
Nd6Ge3Se14, relaxed, DFT PBE; mass density = 5997 kg/m3; raw formation energy = -1.3367 eV per atom; calculated volume = 26.4 Å³/atom; total DFT energy (no corrections) = -5.304 eV per atom
1.0
10.7139 0.0000 0.0000
-5.3569 9.2785 0.0000
0.0000 0.0000 6.0967
Nd Ge Se
6 3 14
direct
0.0243 0.4616 0.0000
0.3097 0.2056 0.4955
0.4373 0.9757 0.0000
0.5384 0.5627 0.0000
0.7944 0.1041 0.4955
0.8959 0.6903 0.4955
0.0000 0.0000 0.0785
0.3333 0.6667 0.5852
0.6667 0.3333 0.7320
0.0000 0.0000 0.6929
0.0823 0.2334 0.2409
0.1511 0.9177 0.2409
0.1822 0.7491 0.7460
0.2509 0.4331 0.7460
0.3333 0.6667 0.1991
0.4104 0.2396 0.9732
0.5004 0.0757 0.4843
0.5669 0.8178 0.7460
0.5753 0.4996 0.4843
0.7604 0.1708 0.9732
0.7666 0.8489 0.2409
0.8292 0.5896 0.9732
0.9243 0.4247 0.4843

---

(15)
Nd4GeSe3, relaxed, DFT PBE; mass density = 6792 kg/m3; raw formation energy = -1.6702 eV per atom; calculated volume = 27.1 Å³/atom; N(E_F) = 3.6 states/eV per cell; total DFT energy (no corrections) = -5.938 eV per atom
1.0
6.0068 0.0000 0.0000
0.0000 6.0068 0.0000
0.0000 0.0000 6.0068
Nd Ge Se
4 1 3
direct
0.0000 0.0000 0.0000
0.0000 0.5000 0.5000
0.5000 0.0000 0.5000
0.5000 0.5000 0.0000
0.5000 0.5000 0.5000
0.0000 0.0000 0.5000
0.0000 0.5000 0.0000
0.5000 0.0000 0.0000

---

(16)
NdGe6Se8, relaxed, DFT PBE; mass density = 4837 kg/m3; raw formation energy = -0.4268 eV per atom; calculated volume = 27.7 Å³/atom; N(E_F) = 7.0 states/eV per cell; total DFT energy (no corrections) = -4.450 eV per atom
1.0
4.8177 2.7815 5.1738
-4.8177 2.7815 5.1738
0.0000 -5.5630 5.1738
Nd Ge Se
1 6 8
direct
0.0000 0.0000 0.0000
0.1308 0.3626 0.5952
0.3626 0.5952 0.1308
0.4048 0.8692 0.6374
0.5952 0.1308 0.3626
0.6374 0.4048 0.8692
0.8692 0.6374 0.4048
0.1431 0.8045 0.3358
0.1955 0.6642 0.8569
0.2767 0.2767 0.2767
0.3358 0.1431 0.8045
0.6642 0.8569 0.1955
0.7233 0.7233 0.7233
0.8045 0.3358 0.1431
0.8569 0.1955 0.6642

---

(17)
Nd3GeSe6, relaxed, DFT PBE; mass density = 5600 kg/m3; raw formation energy = -1.4430 eV per atom; calculated volume = 29.0 Å³/atom; N(E_F) = 7.9 states/eV per cell; total DFT energy (no corrections) = -5.426 eV per atom
1.0
5.7463 -7.1541 0.0000
5.7463 7.1541 0.0000
0.0000 0.0000 7.0625
Nd Ge Se
6 2 12
direct
0.0984 0.9016 0.5000
0.2178 0.4140 0.5927
0.4140 0.2178 0.0927
0.5860 0.7822 0.5927
0.7822 0.5860 0.0927
0.9016 0.0984 0.0000
0.3012 0.6988 0.1343
0.6988 0.3012 0.6343
0.0657 0.5960 0.3127
0.1310 0.1922 0.2960
0.1922 0.1310 0.7960
0.2805 0.7195 0.7656
0.4040 0.9343 0.3127
0.4650 0.5350 0.2853
0.5350 0.4650 0.7853
0.5960 0.0657 0.8127
0.7195 0.2805 0.2656
0.8078 0.8690 0.2960
0.8690 0.8078 0.7960
0.9343 0.4040 0.8127

---

(18)
Nd6GeSe5, relaxed, DFT PBE; mass density = 6784 kg/m3; raw formation energy = -1.7309 eV per atom; calculated volume = 27.2 Å³/atom; N(E_F) = 5.9 states/eV per cell; total DFT energy (no corrections) = -5.952 eV per atom
1.0
3.6774 -6.3720 0.0000
3.6774 6.3720 0.0000
-2.4526 0.0000 6.9615
Nd Ge Se
6 1 5
direct
0.0815 0.4064 0.7444
0.2440 0.2440 0.2567
0.4064 0.0815 0.7444
0.5936 0.9185 0.2556
0.7560 0.7560 0.7433
0.9185 0.5936 0.2556
0.0000 0.0000 0.5000
0.1678 0.8322 0.0000
0.3333 0.6667 0.5000
0.5000 0.5000 0.0000
0.6667 0.3333 0.5000
0.8322 0.1678 0.0000

---

(19)
Nd8Ge3Se4, relaxed, DFT PBE; mass density = 6494 kg/m3; raw formation energy = -1.3591 eV per atom; calculated volume = 28.8 Å³/atom; N(E_F) = 6.3 states/eV per cell; total DFT energy (no corrections) = -5.755 eV per atom
1.0
5.9848 -6.0044 0.0000
5.9848 6.0044 0.0000
-5.9573 0.0000 6.0045
Nd Ge Se
8 3 4
direct
0.2454 0.2454 0.0006
0.2457 0.2457 0.4963
0.2476 0.7524 0.0000
0.2501 0.7499 0.5000
0.7499 0.2501 0.5000
0.7524 0.2476 0.0000
0.7543 0.7543 0.5037
0.7546 0.7546 0.9994
0.0000 0.0000 0.0000
0.0000 0.5000 0.5000
0.5000 0.0000 0.5000
0.0000 0.5000 0.0000
0.5000 0.0000 0.0000
0.5000 0.5000 0.0000
0.5000 0.5000 0.5000